1.
First-principles (PBE) data for an optimized crystal structure of KTlTe2, as listed in Alexandria.

Energy relative to the elements, uncorrected (eV per atom): -0.239
Space group: F-43m (216)
Total magnetic moment (μB per atom): 0.0000

extended XYZ file:
```
4
Lattice="5.757 0.000 0.000 2.878 4.986 0.000 2.878 1.662 4.700" Properties=species:S:1:pos:R:3 pbc="T T T"
Te 0.000 0.000 0.000
Te 2.878 1.662 1.175
Tl 8.635 4.986 3.525
K 5.757 3.324 2.350
```

***

2.
First-principles (PBE) data for an optimized crystal structure of K2Tl2Te, as listed in Alexandria.

Energy relative to the elements, uncorrected (eV per atom): -0.312
Space group: P4/mbm (127)
Total magnetic moment (μB per atom): 0.0000

extended XYZ file:
```
10
Lattice="8.453 0.000 0.000 0.000 8.453 0.000 0.000 0.000 5.552" Properties=species:S:1:pos:R:3 pbc="T T T"
K 2.663 1.564 2.776
Te 0.000 0.000 0.000
Tl 3.141 7.368 0.000
K 5.790 6.890 2.776
Te 4.227 4.227 0.000
Tl 7.368 5.312 0.000
K 6.890 2.663 2.776
Tl 1.085 3.141 0.000
Tl 5.312 1.085 0.000
K 1.564 5.790 2.776
```

***

3.
First-principles (PBE) data for an optimized crystal structure of KTl3Te, as listed in Alexandria.

Energy relative to the elements, uncorrected (eV per atom): 0.471
Space group: Pm-3m (221)
Total magnetic moment (μB per atom): 0.0000

extended XYZ file:
```
5
Lattice="-1.425 5.934 0.630 -0.373 -0.735 6.080 5.956 1.374 0.531" Properties=species:S:1:pos:R:3 pbc="T T T"
Te 2.079 3.287 3.620
Tl -0.187 -0.367 3.040
Tl 2.978 0.687 0.266
Tl -0.713 2.967 0.315
K 0.000 0.000 0.000
```

***

4.
First-principles (PBE) data for an optimized crystal structure of KTlTe, as listed in Alexandria.

Energy relative to the elements, uncorrected (eV per atom): -0.585
Space group: I4mm (107)
Total magnetic moment (μB per atom): 0.0000

extended XYZ file:
```
3
Lattice="-6.131 -1.369 -1.646 -5.412 -2.587 2.487 -2.642 3.185 1.397" Properties=species:S:1:pos:R:3 pbc="T T T"
Te -5.451 0.931 1.221
K -11.486 -3.910 0.845
Tl -8.791 -1.749 1.013
```

***

5.
First-principles (PBE) data for an optimized crystal structure of KTlTe, as listed in Alexandria.

Energy relative to the elements, uncorrected (eV per atom): -0.663
Space group: P2_1/m (11)
Total magnetic moment (μB per atom): 0.0000

extended XYZ file:
```
6
Lattice="4.967 0.000 0.000 0.000 6.182 -2.645 0.000 0.205 8.242" Properties=species:S:1:pos:R:3 pbc="T T T"
K 1.242 4.879 -1.295
Tl 1.242 4.914 2.632
K 3.726 1.507 6.891
Te 1.242 2.187 0.961
Tl 3.726 1.473 2.964
Te 3.726 4.199 4.635
```

***

6.
First-principles (PBE) data for an optimized crystal structure of KTl2Te2, as listed in Alexandria.

Energy relative to the elements, uncorrected (eV per atom): -0.416
Space group: P4/mbm (127)
Total magnetic moment (μB per atom): 0.0000

extended XYZ file:
```
10
Lattice="9.468 0.000 0.000 0.000 9.468 0.000 0.000 0.000 3.925" Properties=species:S:1:pos:R:3 pbc="T T T"
Te 6.441 7.762 1.962
Tl 8.314 5.888 0.000
Te 3.028 1.706 1.962
Tl 3.580 8.314 0.000
Tl 5.888 1.154 0.000
Tl 1.154 3.580 0.000
Te 7.762 3.028 1.962
K 0.000 0.000 0.000
K 4.734 4.734 0.000
Te 1.706 6.441 1.962
```

***

7.
First-principles (PBE) data for an optimized crystal structure of KTl5Te3, as listed in Alexandria.

Energy relative to the elements, uncorrected (eV per atom): -0.385
Space group: C2/c (15)
Total magnetic moment (μB per atom): 0.0000

extended XYZ file:
```
18
Lattice="-4.388 5.098 4.302 -2.305 -9.338 1.306 8.926 2.122 6.589" Properties=species:S:1:pos:R:3 pbc="T T T"
Tl 6.315 -3.841 7.237
Te 4.463 1.061 3.294
Te -1.521 -4.049 3.449
Te -0.829 1.010 5.571
Tl -1.895 -0.767 2.778
Tl 4.128 -1.351 9.419
Tl 1.802 -4.894 4.029
Te 0.000 0.000 0.000
K 1.101 1.844 2.756
Tl -1.089 4.389 4.903
Tl -4.081 1.723 4.959
Tl 2.605 0.201 6.074
K 3.437 5.376 8.136
Te 3.754 1.931 8.747
Te 3.062 -3.127 6.626
Tl -0.371 -2.318 6.123
Tl 0.432 2.776 8.167
Tl 5.627 2.832 5.988
```

***

8.
First-principles (PBE) data for an optimized crystal structure of K3TlTe3, as listed in Alexandria.

Energy relative to the elements, uncorrected (eV per atom): -0.770
Space group: P2_1/c (14)
Total magnetic moment (μB per atom): 0.0000

extended XYZ file:
```
28
Lattice="-3.294 5.213 6.274 2.003 -7.022 6.887 11.849 6.927 0.465" Properties=species:S:1:pos:R:3 pbc="T T T"
Tl 3.804 7.235 7.287
K 9.650 3.987 11.822
Te 8.374 2.293 3.524
Te 2.184 2.825 10.102
Te -2.228 2.960 7.365
Te 4.196 2.413 1.090
K 5.648 3.730 9.021
Te 4.627 4.950 5.825
K 3.136 -2.139 6.645
Te 5.931 0.168 7.801
Tl 11.584 3.079 8.657
K 0.908 1.131 1.803
K -0.328 0.348 8.886
K 4.162 -0.167 10.758
K 1.425 3.910 6.888
Te 1.354 0.563 5.378
K 4.910 1.388 4.605
K 10.886 4.770 4.739
Te 9.204 4.555 8.247
Tl 6.754 -2.117 6.339
Tl -1.026 2.039 4.969
K 6.396 5.285 2.867
Te 6.362 2.705 12.536
Te 12.786 2.158 6.261
Te 1.608 -2.611 10.073
Te 8.950 7.729 3.552
K 9.133 1.208 6.737
K 7.422 7.257 6.981
```